Record 1
MgTcHg2, optimized geometry, DFT PBE-GGA; symmetry = Pm, No. 6; formation energy from the elements = 1.45 eV/f.u.; M_tot = 0.0 μB per formula unit
1.0
2.939 0.000 0.000
0.000 4.474 0.000
-1.439 0.000 5.835
Mg Tc Hg
1 1 2
direct
0.000 0.000 0.000
0.622 0.500 0.252
0.224 0.000 0.461
0.387 0.500 0.771



Record 2
Th6Co3Rh2Se, optimized geometry, DFT PBE-GGA; symmetry = C2/m, No. 12; E_form (uncorrected) = -652 meV/atom; M_tot = 0.0 μB per formula unit
1.0
8.964 -1.990 0.000
8.964 1.990 0.000
-2.181 0.000 8.031
Th Co Rh Se
6 3 2 1
direct
0.002 0.002 0.227
0.324 0.324 0.423
0.336 0.336 0.913
0.664 0.664 0.087
0.676 0.676 0.577
0.998 0.998 0.773
0.162 0.162 0.331
0.500 0.500 0.000
0.838 0.838 0.669
0.167 0.167 0.831
0.833 0.833 0.169
0.500 0.500 0.500



Record 3
PaTlRh2O8, optimized geometry, DFT PBE-GGA; symmetry = P-3, No. 147; E_form (uncorrected) = -1056 meV/atom; M_tot = 0.0 μB per formula unit
1.0
5.782 0.000 0.000
-2.891 5.007 0.000
0.000 0.000 7.233
Pa Tl Rh O
1 1 2 8
direct
0.000 0.000 0.000
0.000 0.000 0.500
0.333 0.667 0.951
0.667 0.333 0.049
0.076 0.378 0.122
0.301 0.924 0.122
0.333 0.667 0.704
0.378 0.301 0.878
0.622 0.699 0.122
0.667 0.333 0.296
0.699 0.076 0.878
0.924 0.622 0.878